Record 1
Li2In2Ga after structural relaxation, computed with PBE.

Computed properties:
The calculation puts the magnetic moment at 0.00 μB per cell. The crystal system is tetragonal. As for the symmetry: P4/mbm, No. 127. The calculated formation energy comes out at -0.6 eV per formula unit.

Cell: 8.1185 8.1185 3.1546 Å, 90.00 90.00 90.00°
Closest atoms and distances in Å follow each position.
Sites, in units of the cell vectors:
Li 0.1672 0.6672 0.5000  6 In 2.77-2.92
Li 0.6672 0.8328 0.5000  6 In 2.77-2.92
Li 0.8328 0.3328 0.5000  6 In 2.77-2.92
Li 0.3328 0.1672 0.5000  6 In 2.77-2.92
Ga 0.0000 0.0000 0.0000  2 Ga 3.15, 4 In 3.16, 8 Li 3.41
Ga 0.5000 0.5000 0.0000  2 Ga 3.15, 4 In 3.16, 8 Li 3.41
In 0.3656 0.8656 0.0000  6 Li 2.77-2.92, 1 In 3.09
In 0.8656 0.6344 0.0000  6 Li 2.77-2.92, 1 In 3.09
In 0.6344 0.1344 0.0000  6 Li 2.77-2.92, 1 In 3.09
In 0.1344 0.3656 0.0000  6 Li 2.77-2.92, 1 In 3.09

---

Record 2
LiIn2Ga after structural relaxation, computed with PBE.

Computed properties:
The calculation puts the magnetic moment at 0.00 μB per cell. The crystal system is trigonal. As for the symmetry: R3m, No. 160. The calculated formation energy comes out at -0.2 eV per formula unit.

Cell: 4.6204 4.6204 5.8505 Å, 66.74 66.74 60.00°
Closest atoms and distances in Å follow each position.
Sites, in units of the cell vectors:
Li 0.4881 0.4881 0.5358  1 Ga 2.95, 6 In 2.98-3.18
In 0.0701 0.0701 0.7898  3 Ga 2.83, 3 Li 2.98, 1 In 3.05
In 0.2651 0.2651 0.2048  3 Ga 2.94, 1 In 3.05, 3 Li 3.18
Ga 0.6768 0.6768 0.9696  6 In 2.83-2.94, 1 Li 2.95

---

Record 3
Li2In2Ga after structural relaxation, computed with PBE.

Computed properties:
The calculation puts the magnetic moment at 0.00 μB per cell. The crystal system is tetragonal. As for the symmetry: I4/mmm, No. 139. The calculated formation energy comes out at -0.3 eV per formula unit.

Cell: 3.9248 3.9248 7.5403 Å, 74.91 74.91 90.00°
Closest atoms and distances in Å follow each position.
Sites, in units of the cell vectors:
Li 0.7500 0.2500 0.5000  4 Li 2.78, 4 In 2.87
Li 0.2500 0.7500 0.5000  4 Li 2.78, 4 In 2.87
Ga 0.0000 0.0000 0.0000  8 In 3.12
In 0.3989 0.3989 0.2021  1 In 2.83, 4 Li 2.87, 4 Ga 3.12
In 0.6011 0.6011 0.7979  1 In 2.83, 4 Li 2.87, 4 Ga 3.12

---

Record 4
LiInGa3 after structural relaxation, computed with PBE.

Computed properties:
The calculation puts the magnetic moment at 0.00 μB per cell. The crystal system is monoclinic. As for the symmetry: P2_1/m, No. 11. The calculated formation energy comes out at -0.6 eV per formula unit.

Cell: 4.3790 6.3576 7.7145 Å, 113.12 90.00 90.00°
Closest atoms and distances in Å follow each position.
Sites, in units of the cell vectors:
Li 0.5484 0.7411 0.5463  9 Ga 2.62-2.87
Li 0.0484 0.0556 0.1400  9 Ga 2.62-2.87
In 0.0484 0.5010 0.0121  4 Ga 3.02-3.06, 2 In 3.26, 2 Li 3.27-3.34
In 0.5484 0.2957 0.6742  4 Ga 3.02-3.06, 2 In 3.26, 2 Li 3.27-3.34
Ga 0.0484 0.9722 0.4574  4 Ga 2.69-2.91, 3 Li 2.70-2.87
Ga 0.5484 0.3656 0.2251  4 Ga 2.68-2.91, 3 Li 2.68-2.84
Ga 0.5484 0.8245 0.2289  4 Ga 2.69-2.91, 3 Li 2.70-2.87
Ga 0.0484 0.4311 0.4612  4 Ga 2.68-2.91, 3 Li 2.68-2.84
Ga 0.0484 0.8411 0.7486  4 Ga 2.57-2.69, 3 Li 2.62-2.78
Ga 0.5484 0.9556 0.9377  4 Ga 2.57-2.69, 3 Li 2.62-2.78

---

Record 5
Li4InGa7 after structural relaxation, computed with PBE.

Computed properties:
The calculation puts the magnetic moment at 0.00 μB per cell. The crystal system is triclinic. As for the symmetry: P-1, No. 2. The calculated formation energy comes out at -1.7 eV per formula unit.

Cell: 5.4062 9.8399 5.4352 Å, 77.86 80.27 51.61°
Closest atoms and distances in Å follow each position.
Sites, in units of the cell vectors:
Li 0.5259 0.2391 0.6058  6 Ga 2.77-2.89, 2 Li 2.85-2.88, 1 In 2.99
Li 0.4741 0.7609 0.3942  6 Ga 2.77-2.89, 2 Li 2.85-2.88, 1 In 2.99
Li 0.6831 0.6721 0.8961  6 Ga 2.75-3.01, 2 Li 2.85-2.88
Li 0.3169 0.3279 0.1039  6 Ga 2.75-3.01, 2 Li 2.85-2.88
In 0.0000 0.0000 0.0000  2 Ga 2.70, 2 Li 2.99
Ga 0.8259 0.8962 0.5358  4 Ga 2.68-2.82, 2 Li 2.77-2.89
Ga 0.1741 0.1038 0.4642  4 Ga 2.68-2.82, 2 Li 2.77-2.89
Ga 0.0838 0.6517 0.2054  5 Ga 2.70-3.02, 3 Li 2.75-2.85
Ga 0.9162 0.3483 0.7946  5 Ga 2.70-3.02, 3 Li 2.75-2.85
Ga 0.2917 0.5671 0.7165  5 Ga 2.68-2.93, 4 Li 2.76-2.83
Ga 0.5000 0.0000 0.0000  2 In 2.70, 4 Ga 2.80-3.02, 4 Li 2.88-2.89
Ga 0.7083 0.4329 0.2835  5 Ga 2.68-2.93, 4 Li 2.76-2.83

---

Record 6
LiIn3Ga after structural relaxation, computed with PBE.

Computed properties:
The calculation puts the magnetic moment at 0.00 μB per cell. The crystal system is monoclinic. As for the symmetry: P2/c, No. 13. The calculated formation energy comes out at 0.0 eV per formula unit.

Cell: 4.8028 6.2669 8.2672 Å, 90.00 90.00 85.63°
Closest atoms and distances in Å follow each position.
Sites, in units of the cell vectors:
Li 0.7500 0.2500 0.1800  6 In 2.91-3.16
Li 0.2500 0.7500 0.8200  6 In 2.91-3.16
In 0.7500 0.7500 0.0475  1 Ga 2.95, 2 Li 3.05, 2 In 3.25
In 0.2500 0.2500 0.9525  1 Ga 2.95, 2 Li 3.05, 2 In 3.25
In 0.7567 0.0048 0.7051  2 Li 2.91-3.16, 3 Ga 2.92-3.06, 3 In 3.07-3.25
In 0.7433 0.4952 0.7051  2 Li 2.91-3.16, 3 Ga 2.92-3.06, 3 In 3.07-3.25
In 0.2433 0.9952 0.2949  2 Li 2.91-3.16, 3 Ga 2.92-3.06, 3 In 3.07-3.25
In 0.2567 0.5048 0.2949  2 Li 2.91-3.16, 3 Ga 2.92-3.06, 3 In 3.07-3.25
Ga 0.7500 0.7500 0.4047  7 In 2.92-3.06
Ga 0.2500 0.2500 0.5953  7 In 2.92-3.06

---

Record 7
Li8In3Ga3 after structural relaxation, computed with PBE.

Computed properties:
The calculation puts the magnetic moment at 0.00 μB per cell. The crystal system is orthorhombic. As for the symmetry: Immm, No. 71. The calculated formation energy comes out at -2.7 eV per formula unit.

Cell: 4.5554 10.1011 7.9133 Å, 129.66 106.73 90.00°
Closest atoms and distances in Å follow each position.
Sites, in units of the cell vectors:
Li 0.3652 0.0850 0.7305  3 Ga 2.69-2.84, 3 Li 2.76-2.90
Li 0.6348 0.9150 0.2695  3 Ga 2.69-2.84, 3 Li 2.76-2.90
Li 0.3652 0.6455 0.7305  3 Ga 2.69-2.84, 3 Li 2.76-2.90
Li 0.6348 0.3545 0.2695  3 Ga 2.69-2.84, 3 Li 2.76-2.90
Li 0.1223 0.7495 0.2445  4 Li 2.57-2.76, 1 Ga 2.67
Li 0.8777 0.2505 0.7555  4 Li 2.57-2.76, 1 Ga 2.67
Li 0.1223 0.4950 0.2445  4 Li 2.57-2.76, 1 Ga 2.67
Li 0.8777 0.5050 0.7555  4 Li 2.57-2.76, 1 Ga 2.67
In 0.5000 0.5000 0.0000  12 Li 2.96-3.21, 2 In 3.06
In 0.2290 0.2290 0.4581  2 Ga 2.98, 1 In 3.06, 6 Li 3.11-3.22
In 0.7710 0.7710 0.5419  2 Ga 2.98, 1 In 3.06, 6 Li 3.11-3.22
Ga 0.5000 0.0000 0.0000  4 Li 2.69, 4 Ga 2.72
Ga 0.0000 0.8536 0.0000  6 Li 2.67-2.84, 3 Ga 2.72-2.96, 2 In 2.98
Ga 0.0000 0.1464 0.0000  6 Li 2.67-2.84, 3 Ga 2.72-2.96, 2 In 2.98

---

Record 8
LiIn6Ga after structural relaxation, computed with PBE.

Computed properties:
The calculation puts the magnetic moment at 0.00 μB per cell. The crystal system is orthorhombic. As for the symmetry: Fmmm, No. 69. The calculated formation energy comes out at -0.3 eV per formula unit.

Cell: 5.5241 5.5243 7.4575 Å, 106.10 106.10 104.55°
Closest atoms and distances in Å follow each position.
Sites, in units of the cell vectors:
Li 0.0000 0.0000 0.0000  10 In 3.18-3.24, 2 Ga 3.38
In 0.6179 0.1180 0.2360  8 In 3.14-3.51, 2 Li 3.18, 2 Ga 3.18
In 0.8820 0.3820 0.7640  8 In 3.14-3.51, 2 Ga 3.18, 2 Li 3.18
In 0.2438 0.2438 0.4877  10 In 3.23-3.38, 1 Li 3.24, 1 Ga 3.41
In 0.1180 0.6180 0.2360  8 In 3.14-3.51, 2 Ga 3.18, 2 Li 3.18
In 0.3821 0.8820 0.7640  8 In 3.14-3.51, 2 Li 3.18, 2 Ga 3.18
In 0.7562 0.7562 0.5123  10 In 3.23-3.38, 1 Li 3.24, 1 Ga 3.41
Ga 0.5000 0.5000 0.0000  10 In 3.18-3.41, 2 Li 3.38